First-principles (PBE+U) data for a relaxed YVPO2 crystal, as listed in Alexandria.

Structure (CIF):
```
data_YVPO2
_chemical_formula_sum 'Y1 V1 P1 O2'
_cell_length_a 3.861
_cell_length_b 3.861
_cell_length_c 5.004
_cell_angle_alpha 90.00
_cell_angle_beta 90.00
_cell_angle_gamma 90.00
_symmetry_space_group_name_H-M 'P 4/m m m'
_symmetry_Int_Tables_number 123
_symmetry_space_group_name_Hall '-P 4 2'
loop_
_atom_site_label
_atom_site_fract_x
_atom_site_fract_y
_atom_site_fract_z
Y1 0.000 0.000 0.000
V1 0.500 0.500 0.500
P1 0.500 0.500 0.000
O1 0.000 0.500 0.500
```

Properties
Density   4.5 Mg/m³
Distance to the lowest polymorph of the same formula   0 meV/atom

First-principles (PBE+U) data for a relaxed Pr4CoO7 crystal, as listed in Alexandria.

Structure (CIF):
```
data_Pr4CoO7
_chemical_formula_sum 'Pr8 Co2 O14'
_cell_length_a 13.293
_cell_length_b 4.014
_cell_length_c 9.278
_cell_angle_alpha 90.00
_cell_angle_beta 133.12
_cell_angle_gamma 90.00
_symmetry_space_group_name_H-M 'C 1 2/m 1'
_symmetry_Int_Tables_number 12
_symmetry_space_group_name_Hall '-C 2y'
loop_
_atom_site_label
_atom_site_fract_x
_atom_site_fract_y
_atom_site_fract_z
Pr1 0.084 0.000 0.389
Pr2 0.244 0.000 0.154
Co1 0.000 0.500 0.000
O1 0.000 0.000 0.000
O2 0.087 0.500 0.898
O3 0.132 0.000 0.697
O4 0.204 0.500 0.555
```

Properties
Density   6.8 Mg/m³
DFT total energy   -0.5714 Ry/atom

Repeat the first record exactly.
First-principles (PBE+U) data for a relaxed YVPO2 crystal, as listed in Alexandria.

Structure (CIF):
```
data_YVPO2
_chemical_formula_sum 'Y1 V1 P1 O2'
_cell_length_a 3.861
_cell_length_b 3.861
_cell_length_c 5.004
_cell_angle_alpha 90.00
_cell_angle_beta 90.00
_cell_angle_gamma 90.00
_symmetry_space_group_name_H-M 'P 4/m m m'
_symmetry_Int_Tables_number 123
_symmetry_space_group_name_Hall '-P 4 2'
loop_
_atom_site_label
_atom_site_fract_x
_atom_site_fract_y
_atom_site_fract_z
Y1 0.000 0.000 0.000
V1 0.500 0.500 0.500
P1 0.500 0.500 0.000
O1 0.000 0.500 0.500
```

Properties
Density   4.5 Mg/m³
Distance to the lowest polymorph of the same formula   0 meV/atom

- Which value of density does entry 1 give?
  4.5 Mg/m³

- density of number 1 (YVPO2)?
  4.5 Mg/m³

- Which value of density does entry 2 give?
  6.8 Mg/m³